## w
VASP calculation (PBE-GGA) on a relaxed Rb2SbF crystal.

Properties
As for the magnetization: 2.00 μB/f.u.

Cell lengths 8.452, 8.452, 8.452 Å; angles 90.00, 90.00, 90.00 degrees
Space group Fm-3m (No. 225)
Inequivalent atoms, fractional coordinates:
Rb1 0.250 0.250 0.250
Sb1 0.000 0.000 0.000
F1 0.000 0.000 0.500


## x
VASP calculation (PBE-GGA) on a relaxed Rb2SbF crystal.

Properties
As for the magnetization: 0.00 μB/f.u.

Cell lengths 8.190, 8.190, 9.371 Å; angles 90.00, 90.00, 90.00 degrees
Space group I-42d (No. 122)
Inequivalent atoms, fractional coordinates:
Rb1 0.142 0.250 0.125
Sb1 0.000 0.000 0.500
F1 0.000 0.000 0.000


Stability comparison, relative energies in eV/atom: w 0.312; x 0.000


## w
VASP calculation (PBE-GGA) on a relaxed RbSc2F crystal.

Properties
As for the magnetization: 0.97 μB/f.u.

Cell lengths 7.105, 7.105, 10.042 Å; angles 90.00, 90.00, 90.00 degrees
Space group I-42d (No. 122)
Inequivalent atoms, fractional coordinates:
Rb1 0.000 0.000 0.000
Sc1 0.002 0.250 0.625
F1 0.000 0.000 0.500


## x
VASP calculation (PBE-GGA) on a relaxed RbSc2F crystal.

Properties
As for the magnetization: 0.00 μB/f.u.

Cell lengths 3.5332, 3.5332, 32.7104 Å; angles 90.00, 90.00, 120.00 degrees
Space group R-3m (No. 166, hexagonal axes)
Inequivalent atoms, fractional coordinates:
Rb1 0.0000 0.0000 0.0000
Sc1 0.0000 0.0000 0.4384
F1 0.0000 0.0000 0.5000


## y
VASP calculation (PBE-GGA) on a relaxed RbSc2F crystal.

Properties
As for the magnetization: 3.40 μB/f.u.

Cell lengths 7.677, 7.677, 7.677 Å; angles 90.00, 90.00, 90.00 degrees
Space group Fm-3m (No. 225)
Inequivalent atoms, fractional coordinates:
Rb1 0.000 0.000 0.000
Sc1 0.250 0.250 0.250
F1 0.000 0.000 0.500


Stability comparison, relative energies in eV/atom: w 0.063; x 0.000; y 1.156


## w
VASP calculation (PBE-GGA) on a relaxed RbScF4 crystal.

Properties
As for the magnetization: 0.04 μB/f.u.

Cell lengths 4.156, 16.898, 6.347 Å; angles 90.00, 90.00, 90.00 degrees
Space group Cmcm (No. 63)
Inequivalent atoms, fractional coordinates:
Rb1 0.000 0.182 0.250
Sc1 0.000 0.420 0.250
F1 0.000 0.075 0.750
F2 0.000 0.334 0.036
F3 0.000 0.500 0.000


## x
VASP calculation (PBE-GGA) on a relaxed RbScF4 crystal.

Properties
As for the magnetization: 0.00 μB/f.u.

Cell lengths 4.141, 13.259, 8.071 Å; angles 90.00, 90.00, 90.00 degrees
Space group Cmcm (No. 63)
Inequivalent atoms, fractional coordinates:
Rb1 0.000 0.232 0.250
Sc1 0.000 0.500 0.000
F1 0.000 0.000 0.000
F2 0.000 0.353 0.549
F3 0.000 0.466 0.250


Stability comparison, relative energies in eV/atom: w 0.007; x 0.000


## w
VASP calculation (PBE-GGA) on a relaxed RbSc3F crystal.

Properties
As for the magnetization: 0.00 μB/f.u.

Cell lengths 5.225, 5.225, 5.225 Å; angles 90.00, 90.00, 90.00 degrees
Space group Pm-3m (No. 221)
Inequivalent atoms, fractional coordinates:
Rb1 0.000 0.000 0.000
Sc1 0.000 0.000 0.500
F1 0.500 0.500 0.500


## x
VASP calculation (PBE-GGA) on a relaxed RbSc3F crystal.

Properties
As for the magnetization: 2.10 μB/f.u.

Cell lengths 5.020, 5.020, 5.020 Å; angles 90.00, 90.00, 90.00 degrees
Space group Pm-3m (No. 221)
Inequivalent atoms, fractional coordinates:
Rb1 0.000 0.000 0.000
Sc1 0.000 0.500 0.500
F1 0.500 0.500 0.500


Stability comparison, relative energies in eV/atom: w 1.578; x 0.000


## w
VASP calculation (PBE-GGA) on a relaxed RbSeF3 crystal.

Properties
As for the magnetization: 0.00 μB/f.u.

Cell lengths 4.530, 4.530, 4.530 Å; angles 90.00, 90.00, 90.00 degrees
Space group Pm-3m (No. 221)
Inequivalent atoms, fractional coordinates:
Rb1 0.000 0.000 0.000
Se1 0.500 0.500 0.500
F1 0.000 0.500 0.500


## x
VASP calculation (PBE-GGA) on a relaxed RbSeF3 crystal.

Properties
As for the magnetization: 1.00 μB/f.u.

Cell lengths 6.672, 6.672, 9.799 Å; angles 90.00, 90.00, 90.00 degrees
Space group I4/mmm (No. 139)
Inequivalent atoms, fractional coordinates:
Rb1 0.000 0.500 0.250
Se1 0.000 0.000 0.000
Se2 0.000 0.000 0.500
F1 0.000 0.000 0.199
F2 0.211 0.211 0.500


Stability comparison, relative energies in eV/atom: w 0.134; x 0.000


## w
VASP calculation (PBE-GGA) on a relaxed Rb2SeF crystal.

Properties
As for the magnetization: 1.00 μB/f.u.

Cell lengths 8.005, 8.005, 9.068 Å; angles 90.00, 90.00, 90.00 degrees
Space group I-42d (No. 122)
Inequivalent atoms, fractional coordinates:
Rb1 0.170 0.250 0.125
Se1 0.000 0.000 0.500
F1 0.000 0.000 0.000


## x
VASP calculation (PBE-GGA) on a relaxed Rb2SeF crystal.

Properties
As for the magnetization: 1.00 μB/f.u.

Cell lengths 7.937, 7.937, 7.937 Å; angles 90.00, 90.00, 90.00 degrees
Space group Fm-3m (No. 225)
Inequivalent atoms, fractional coordinates:
Rb1 0.250 0.250 0.250
Se1 0.000 0.000 0.000
F1 0.000 0.000 0.500


## y
VASP calculation (PBE-GGA) on a relaxed Rb2SeF crystal.

Properties
As for the magnetization: 0.00 μB/f.u.

Cell lengths 3.534, 3.534, 8.377 Å; angles 90.00, 90.00, 90.00 degrees
Space group P4/mmm (No. 123)
Inequivalent atoms, fractional coordinates:
Rb1 0.000 0.000 0.203
Se1 0.500 0.500 0.500
F1 0.500 0.500 0.000


Stability comparison, relative energies in eV/atom: w 0.079; x 0.269; y 0.000


## w
VASP calculation (PBE-GGA) on a relaxed Rb4SeF2 crystal.

Properties
As for the magnetization: 0.00 μB/f.u.

Cell lengths 6.435, 6.435, 15.887 Å; angles 90.00, 90.00, 90.00 degrees
Space group I4/mmm (No. 139)
Inequivalent atoms, fractional coordinates:
Rb1 0.000 0.000 0.205
Rb2 0.000 0.500 0.000
Se1 0.000 0.000 0.000
F1 0.000 0.000 0.363


## x
VASP calculation (PBE-GGA) on a relaxed Rb4SeF2 crystal.

Properties
As for the magnetization: 0.00 μB/f.u.

Cell lengths 4.549, 13.482, 14.186 Å; angles 90.00, 90.00, 90.00 degrees
Space group Cmcm (No. 63)
Inequivalent atoms, fractional coordinates:
Rb1 0.000 0.000 0.000
Rb2 0.000 0.273 0.110
Rb3 0.000 0.433 0.750
Se1 0.000 0.111 0.750
F1 0.000 0.368 0.559


Stability comparison, relative energies in eV/atom: w 0.298; x 0.000


## w
VASP calculation (PBE-GGA) on a relaxed RbSeF crystal.

Properties
As for the magnetization: 0.00 μB/f.u.

Cell lengths 4.842, 6.418, 6.494 Å; angles 105.21, 110.16, 106.33 degrees
Space group P1 (No. 1)
Inequivalent atoms, fractional coordinates:
Rb1 0.000 0.000 0.000
Rb2 0.003 0.501 0.508
Se1 0.431 0.632 0.120
Se2 0.575 0.376 0.899
F1 0.368 0.979 0.733
F2 0.649 0.021 0.279


## x
VASP calculation (PBE-GGA) on a relaxed RbSeF crystal.

Properties
As for the magnetization: 0.00 μB/f.u.

Cell lengths 4.071, 4.582, 9.819 Å; angles 83.83, 88.59, 65.97 degrees
Space group P1 (No. 1)
Inequivalent atoms, fractional coordinates:
Rb1 0.000 0.000 0.000
Rb2 0.302 0.393 0.315
Se1 0.021 0.903 0.615
Se2 0.648 0.652 0.710
F1 0.318 0.405 0.919
F2 0.621 0.792 0.231


Stability comparison, relative energies in eV/atom: w 0.156; x 0.000


## w
VASP calculation (PBE-GGA) on a relaxed Rb3SiF7 crystal.

Properties
As for the magnetization: 0.09 μB/f.u.

Cell lengths 8.103, 8.078, 6.260 Å; angles 90.00, 92.82, 90.00 degrees
Space group Cm (No. 8)
Inequivalent atoms, fractional coordinates:
Rb1 0.000 0.000 0.000
Rb2 0.249 0.250 0.503
Si1 0.001 0.500 0.004
F1 0.089 0.349 0.853
F2 0.174 0.500 0.177
F3 0.329 0.000 0.832
F4 0.414 0.151 0.156
F5 0.499 0.500 0.508


## x
VASP calculation (PBE-GGA) on a relaxed Rb3SiF7 crystal.

Properties
As for the magnetization: 0.09 μB/f.u.

Cell lengths 8.087, 8.087, 5.899 Å; angles 90.00, 90.00, 90.00 degrees
Space group P4/mbm (No. 127)
Inequivalent atoms, fractional coordinates:
Rb1 0.000 0.000 0.000
Rb2 0.195 0.305 0.500
Si1 0.000 0.500 0.000
F1 0.000 0.000 0.500
F2 0.106 0.606 0.208
F3 0.150 0.350 0.000


Stability comparison, relative energies in eV/atom: w 0.017; x 0.000


## w
VASP calculation (PBE-GGA) on a relaxed RbSi3F crystal.

Properties
As for the magnetization: 0.00 μB/f.u.

Cell lengths 4.782, 4.782, 4.782 Å; angles 90.00, 90.00, 90.00 degrees
Space group Pm-3m (No. 221)
Inequivalent atoms, fractional coordinates:
Rb1 0.000 0.000 0.000
Si1 0.000 0.500 0.500
F1 0.500 0.500 0.500


## x
VASP calculation (PBE-GGA) on a relaxed RbSi3F crystal.

Properties
As for the magnetization: 5.19 μB/f.u.

Cell lengths 6.207, 6.207, 6.207 Å; angles 90.00, 90.00, 90.00 degrees
Space group Pm-3m (No. 221)
Inequivalent atoms, fractional coordinates:
Rb1 0.000 0.000 0.000
Si1 0.000 0.000 0.500
F1 0.500 0.500 0.500


Stability comparison, relative energies in eV/atom: w 0.000; x 1.491


## w
VASP calculation (PBE-GGA) on a relaxed RbSn3F crystal.

Properties
As for the magnetization: 0.00 μB/f.u.

Cell lengths 5.236, 5.236, 5.236 Å; angles 90.00, 90.00, 90.00 degrees
Space group Pm-3m (No. 221)
Inequivalent atoms, fractional coordinates:
Rb1 0.000 0.000 0.000
Sn1 0.000 0.500 0.500
F1 0.500 0.500 0.500


## x
VASP calculation (PBE-GGA) on a relaxed RbSn3F crystal.

Properties
As for the magnetization: 1.61 μB/f.u.

Cell lengths 6.329, 6.329, 6.329 Å; angles 90.00, 90.00, 90.00 degrees
Space group Pm-3m (No. 221)
Inequivalent atoms, fractional coordinates:
Rb1 0.000 0.000 0.000
Sn1 0.000 0.000 0.500
F1 0.500 0.500 0.500


Stability comparison, relative energies in eV/atom: w 0.000; x 1.418